# 1
First-principles (PBE-GGA) data for an optimized crystal structure of Pm5Ge4Rh, as listed in Alexandria.

Calculated values
- DFT formation energy: -6.22 eV/f.u.
- Mass density: 7.79 g cm⁻³

Cell lengths 3.778, 3.778, 16.703 Å; angles 90.00, 90.00, 90.00 degrees
Fractional positions:
Pm: 0.500 0.500 0.096
Pm: 0.500 0.500 0.299
Pm: 0.500 0.500 0.500
Pm: 0.500 0.500 0.701
Pm: 0.500 0.500 0.904
Ge: 0.000 0.000 0.194
Ge: 0.000 0.000 0.402
Ge: 0.000 0.000 0.598
Ge: 0.000 0.000 0.806
Rh: 0.000 0.000 0.000

=====

# 2
First-principles (PBE-GGA) data for an optimized crystal structure of PmGe3Rh3, as listed in Alexandria.

Calculated values
- DFT formation energy: -3.94 eV/f.u.
- Energy relative to the lowest polymorph listed for this composition: 55 meV/atom
- Mass density: 7.71 g cm⁻³

Cell lengths 4.370, 8.742, 8.742 Å; angles 120.00, 90.00, 90.00 degrees
Fractional positions:
Pm: 0.250 0.667 0.333
Pm: 0.750 0.333 0.667
Ge: 0.750 0.344 0.284
Ge: 0.750 0.941 0.656
Ge: 0.250 0.284 0.941
Ge: 0.750 0.716 0.059
Ge: 0.250 0.059 0.344
Ge: 0.250 0.656 0.716
Rh: 0.750 0.424 0.053
Rh: 0.750 0.629 0.576
Rh: 0.250 0.053 0.629
Rh: 0.750 0.947 0.371
Rh: 0.250 0.371 0.424
Rh: 0.250 0.576 0.947

=====

# 3
First-principles (PBE-GGA) data for an optimized crystal structure of Pm12Ge5Rh2, as listed in Alexandria.

Calculated values
- DFT formation energy: -9.95 eV/f.u.
- Mass density: 6.62 g cm⁻³

Cell lengths 7.471, 9.266, 9.495 Å; angles 104.27, 90.00, 113.78 degrees
Fractional positions:
Pm: 0.992 0.985 0.184
Pm: 0.096 0.666 0.912
Pm: 0.570 0.666 0.912
Pm: 0.092 0.698 0.427
Pm: 0.606 0.698 0.427
Pm: 0.497 0.994 0.743
Pm: 0.503 0.006 0.257
Pm: 0.908 0.302 0.573
Pm: 0.394 0.302 0.573
Pm: 0.904 0.334 0.088
Pm: 0.430 0.334 0.088
Pm: 0.008 0.015 0.816
Ge: 0.305 0.610 0.637
Ge: 0.313 0.626 0.173
Ge: 0.000 0.000 0.500
Ge: 0.687 0.374 0.827
Ge: 0.695 0.390 0.363
Rh: 0.702 0.000 0.000
Rh: 0.298 0.000 0.000

=====

# 4
First-principles (PBE-GGA) data for an optimized crystal structure of Pm4GeRh, as listed in Alexandria.

Calculated values
- DFT formation energy: -2.84 eV/f.u.
- Mass density: 6.93 g cm⁻³

Cell lengths 7.067, 7.079, 7.241 Å; angles 90.00, 91.06, 90.00 degrees
Fractional positions:
Pm: 0.846 0.660 0.173
Pm: 0.654 0.160 0.827
Pm: 0.333 0.338 0.348
Pm: 0.167 0.838 0.652
Pm: 0.154 0.340 0.827
Pm: 0.346 0.840 0.173
Pm: 0.667 0.662 0.652
Pm: 0.833 0.162 0.348
Ge: 0.000 0.000 0.000
Ge: 0.500 0.500 0.000
Rh: 0.500 0.000 0.500
Rh: 0.000 0.500 0.500

=====

# 5
First-principles (PBE-GGA) data for an optimized crystal structure of Pm2Ge6Rh, as listed in Alexandria.

Calculated values
- DFT formation energy: -4.79 eV/f.u.
- Energy relative to the lowest polymorph listed for this composition: 14 meV/atom
- Mass density: 7.80 g cm⁻³

Cell lengths 5.488, 6.091, 6.091 Å; angles 60.01, 89.99, 89.99 degrees
Fractional positions:
Pm: 0.822 0.667 0.667
Pm: 0.178 0.333 0.333
Ge: 0.312 0.363 0.818
Ge: 0.312 0.819 0.819
Ge: 0.312 0.818 0.363
Ge: 0.688 0.637 0.182
Ge: 0.688 0.181 0.181
Ge: 0.688 0.182 0.637
Rh: 0.000 0.000 0.000

=====

# 6
First-principles (PBE-GGA) data for an optimized crystal structure of Pm2Ge2Rh5, as listed in Alexandria.

Calculated values
- DFT formation energy: -6.34 eV/f.u.
- Mass density: 9.78 g cm⁻³

Cell lengths 4.220, 4.220, 9.058 Å; angles 90.00, 90.00, 90.00 degrees
Fractional positions:
Pm: 0.000 0.000 0.000
Pm: 0.000 0.000 0.500
Ge: 0.500 0.500 0.142
Ge: 0.500 0.500 0.858
Rh: 0.500 0.000 0.271
Rh: 0.500 0.000 0.729
Rh: 0.500 0.500 0.500
Rh: 0.000 0.500 0.271
Rh: 0.000 0.500 0.729